Entry from Alexandria via LeMat-Bulk: crystalline CrNi2Se at its relaxed geometry (GGA-PBE).

Geometry as CIF:
```
data_CrNi2Se
_chemical_formula_sum 'Cr2 Ni4 Se2'
_space_group_name_H-M_alt 'P 1'
_space_group_IT_number 1
_space_group_name_Hall 'P 1'
_cell_length_a 6.619
_cell_length_b 6.619
_cell_length_c 5.264
_cell_angle_alpha 51.04
_cell_angle_beta 51.04
_cell_angle_gamma 90.00
loop_
_atom_site_label
_atom_site_fract_x
_atom_site_fract_y
_atom_site_fract_z
Se1 0.750 0.250 0.500
Cr1 0.500 0.500 0.000
Ni1 0.875 0.889 0.750
Cr2 0.250 0.750 0.500
Ni2 0.111 0.625 0.250
Ni3 0.375 0.361 0.750
Ni4 0.639 0.125 0.250
Se2 0.000 0.000 0.000
```

## Properties
E: -5.857 eV per atom
Crystal system: tetragonal
D(E_F): 4.42 states/eV per cell
Uncorrected formation energy: 0.3105 eV/atom
Magnetic moment: 0.00 Bohr magnetons per cell

---

Entry from Alexandria via LeMat-Bulk: crystalline CrNi4Se at its relaxed geometry (GGA-PBE).

Geometry as CIF:
```
data_CrNi4Se
_chemical_formula_sum 'Cr1 Ni4 Se1'
_space_group_name_H-M_alt 'P 1'
_space_group_IT_number 1
_space_group_name_Hall 'P 1'
_cell_length_a 4.770
_cell_length_b 4.770
_cell_length_c 4.770
_cell_angle_alpha 60.00
_cell_angle_beta 60.00
_cell_angle_gamma 60.00
loop_
_atom_site_label
_atom_site_fract_x
_atom_site_fract_y
_atom_site_fract_z
Ni1 0.374 0.877 0.374
Ni2 0.374 0.374 0.877
Ni3 0.877 0.374 0.374
Ni4 0.374 0.374 0.374
Cr1 0.000 0.000 0.000
Se1 0.750 0.750 0.750
```

## Properties
E: -5.783 eV per atom
Crystal system: cubic
D(E_F): 7.57 states/eV per cell
Uncorrected formation energy: 0.2561 eV/atom
Magnetic moment: 4.27 Bohr magnetons per cell

---

Entry from Alexandria via LeMat-Bulk: crystalline CrNi2Se6 at its relaxed geometry (GGA-PBE).

Geometry as CIF:
```
data_CrNi2Se6
_chemical_formula_sum 'Cr1 Ni2 Se6'
_space_group_name_H-M_alt 'P 1'
_space_group_IT_number 1
_space_group_name_Hall 'P 1'
_cell_length_a 3.692
_cell_length_b 5.794
_cell_length_c 10.989
_cell_angle_alpha 120.91
_cell_angle_beta 90.00
_cell_angle_gamma 108.58
loop_
_atom_site_label
_atom_site_fract_x
_atom_site_fract_y
_atom_site_fract_z
Se1 0.001 0.002 0.272
Ni1 0.331 0.661 0.166
Cr1 0.000 0.000 0.500
Se2 0.333 0.666 0.950
Ni2 0.669 0.339 0.834
Se3 0.681 0.362 0.622
Se4 0.667 0.334 0.050
Se5 0.319 0.638 0.378
Se6 0.999 0.998 0.728
```

## Properties
E: -4.984 eV per atom
Crystal system: monoclinic
D(E_F): 2.48 states/eV per cell
Uncorrected formation energy: -0.3071 eV/atom
Magnetic moment: 2.78 Bohr magnetons per cell

---

Entry from Alexandria via LeMat-Bulk: crystalline CrNi2Se at its relaxed geometry (GGA-PBE).

Geometry as CIF:
```
data_CrNi2Se
_chemical_formula_sum 'Cr1 Ni2 Se1'
_space_group_name_H-M_alt 'P 1'
_space_group_IT_number 1
_space_group_name_Hall 'P 1'
_cell_length_a 7.778
_cell_length_b 7.778
_cell_length_c 7.778
_cell_angle_alpha 20.85
_cell_angle_beta 20.85
_cell_angle_gamma 20.85
loop_
_atom_site_label
_atom_site_fract_x
_atom_site_fract_y
_atom_site_fract_z
Cr1 0.752 0.752 0.752
Se1 0.496 0.496 0.496
Ni1 0.250 0.250 0.250
Ni2 0.001 0.001 0.001
```

## Properties
E: -5.848 eV per atom
Crystal system: trigonal
D(E_F): 5.42 states/eV per cell
Uncorrected formation energy: 0.3201 eV/atom
Magnetic moment: 1.01 Bohr magnetons per cell

---

Entry from Alexandria via LeMat-Bulk: crystalline CrNiSe at its relaxed geometry (GGA-PBE).

Geometry as CIF:
```
data_CrNiSe
_chemical_formula_sum 'Cr1 Ni1 Se1'
_space_group_name_H-M_alt 'P 1'
_space_group_IT_number 1
_space_group_name_Hall 'P 1'
_cell_length_a 3.927
_cell_length_b 3.927
_cell_length_c 3.396
_cell_angle_alpha 90.00
_cell_angle_beta 90.00
_cell_angle_gamma 120.00
loop_
_atom_site_label
_atom_site_fract_x
_atom_site_fract_y
_atom_site_fract_z
Se1 0.333 0.667 0.528
Ni1 0.667 0.333 0.475
Cr1 0.000 0.000 0.997
```

## Properties
E: -6.263 eV per atom
Crystal system: trigonal
Excess energy over the best structure of this formula in the dataset: 0.000 eV/atom
D(E_F): 1.10 states/eV per cell
Uncorrected formation energy: 0.0332 eV/atom
Magnetic moment: 3.64 Bohr magnetons per cell

---

Entry from Alexandria via LeMat-Bulk: crystalline CrNiSe3 at its relaxed geometry (GGA-PBE).

Geometry as CIF:
```
data_CrNiSe3
_chemical_formula_sum 'Cr1 Ni1 Se3'
_space_group_name_H-M_alt 'P 1'
_space_group_IT_number 1
_space_group_name_Hall 'P 1'
_cell_length_a 4.641
_cell_length_b 4.641
_cell_length_c 4.641
_cell_angle_alpha 90.00
_cell_angle_beta 90.00
_cell_angle_gamma 90.00
loop_
_atom_site_label
_atom_site_fract_x
_atom_site_fract_y
_atom_site_fract_z
Ni1 0.000 0.000 0.000
Se1 0.000 0.000 0.500
Cr1 0.500 0.500 0.500
Se2 0.000 0.500 0.000
Se3 0.500 0.000 0.000
```

## Properties
E: -4.348 eV per atom
Crystal system: cubic
Excess energy over the best structure of this formula in the dataset: 1.087 eV/atom
D(E_F): 8.38 states/eV per cell
Uncorrected formation energy: 0.8234 eV/atom
Magnetic moment: 0.32 Bohr magnetons per cell

---

Entry from Alexandria via LeMat-Bulk: crystalline CrNiSe at its relaxed geometry (GGA-PBE).

Geometry as CIF:
```
data_CrNiSe
_chemical_formula_sum 'Cr1 Ni1 Se1'
_space_group_name_H-M_alt 'P 1'
_space_group_IT_number 1
_space_group_name_Hall 'P 1'
_cell_length_a 4.070
_cell_length_b 4.070
_cell_length_c 4.070
_cell_angle_alpha 60.00
_cell_angle_beta 60.00
_cell_angle_gamma 60.00
loop_
_atom_site_label
_atom_site_fract_x
_atom_site_fract_y
_atom_site_fract_z
Ni1 0.750 0.750 0.750
Se1 0.000 0.000 0.000
Cr1 0.500 0.500 0.500
```

## Properties
E: -6.217 eV per atom
Crystal system: cubic
Excess energy over the best structure of this formula in the dataset: 0.047 eV/atom
D(E_F): 1.90 states/eV per cell
Uncorrected formation energy: 0.0797 eV/atom
Magnetic moment: 3.99 Bohr magnetons per cell

---

Entry from Alexandria via LeMat-Bulk: crystalline Cr3NiSe at its relaxed geometry (GGA-PBE).

Geometry as CIF:
```
data_Cr3NiSe
_chemical_formula_sum 'Cr3 Ni1 Se1'
_space_group_name_H-M_alt 'P 1'
_space_group_IT_number 1
_space_group_name_Hall 'P 1'
_cell_length_a 4.547
_cell_length_b 4.547
_cell_length_c 4.547
_cell_angle_alpha 90.00
_cell_angle_beta 90.00
_cell_angle_gamma 90.00
loop_
_atom_site_label
_atom_site_fract_x
_atom_site_fract_y
_atom_site_fract_z
Cr1 0.000 0.500 0.000
Se1 0.500 0.500 0.500
Ni1 0.000 0.000 0.000
Cr2 0.500 0.000 0.000
Cr3 0.000 0.000 0.500
```

## Properties
E: -6.619 eV per atom
Crystal system: cubic
Excess energy over the best structure of this formula in the dataset: 0.000 eV/atom
D(E_F): 9.61 states/eV per cell
Uncorrected formation energy: 1.0084 eV/atom
Magnetic moment: 11.35 Bohr magnetons per cell

---

Entry from Alexandria via LeMat-Bulk: crystalline CrNiSe3 at its relaxed geometry (GGA-PBE).

Geometry as CIF:
```
data_CrNiSe3
_chemical_formula_sum 'Cr2 Ni2 Se6'
_space_group_name_H-M_alt 'P 1'
_space_group_IT_number 1
_space_group_name_Hall 'P 1'
_cell_length_a 3.673
_cell_length_b 6.557
_cell_length_c 9.738
_cell_angle_alpha 111.32
_cell_angle_beta 90.00
_cell_angle_gamma 90.00
loop_
_atom_site_label
_atom_site_fract_x
_atom_site_fract_y
_atom_site_fract_z
Cr1 0.250 0.195 0.173
Se1 0.750 0.923 0.601
Se2 0.750 0.899 0.105
Se3 0.250 0.101 0.895
Ni1 0.750 0.837 0.337
Ni2 0.250 0.163 0.663
Se4 0.250 0.547 0.746
Se5 0.750 0.453 0.254
Cr2 0.750 0.805 0.827
Se6 0.250 0.077 0.399
```

## Properties
E: -5.436 eV per atom
Crystal system: monoclinic
Excess energy over the best structure of this formula in the dataset: 0.000 eV/atom
D(E_F): 8.28 states/eV per cell
Uncorrected formation energy: -0.2640 eV/atom
Magnetic moment: 5.59 Bohr magnetons per cell

---

Entry from Alexandria via LeMat-Bulk: crystalline CrNi2Se at its relaxed geometry (GGA-PBE).

Geometry as CIF:
```
data_CrNi2Se
_chemical_formula_sum 'Cr1 Ni2 Se1'
_space_group_name_H-M_alt 'P 1'
_space_group_IT_number 1
_space_group_name_Hall 'P 1'
_cell_length_a 3.813
_cell_length_b 3.008
_cell_length_c 4.926
_cell_angle_alpha 73.35
_cell_angle_beta 90.00
_cell_angle_gamma 90.00
loop_
_atom_site_label
_atom_site_fract_x
_atom_site_fract_y
_atom_site_fract_z
Ni1 0.000 0.124 0.005
Se1 0.500 0.250 0.250
Ni2 0.000 0.376 0.495
Cr1 0.500 0.750 0.750
```

## Properties
E: -6.010 eV per atom
Crystal system: monoclinic
D(E_F): 4.64 states/eV per cell
Uncorrected formation energy: 0.1579 eV/atom
Magnetic moment: 2.76 Bohr magnetons per cell

---

Entry from Alexandria via LeMat-Bulk: crystalline CrNiSe at its relaxed geometry (GGA-PBE).

Geometry as CIF:
```
data_CrNiSe
_chemical_formula_sum 'Cr1 Ni1 Se1'
_space_group_name_H-M_alt 'P 1'
_space_group_IT_number 1
_space_group_name_Hall 'P 1'
_cell_length_a 2.906
_cell_length_b 2.906
_cell_length_c 5.703
_cell_angle_alpha 90.00
_cell_angle_beta 90.00
_cell_angle_gamma 120.00
loop_
_atom_site_label
_atom_site_fract_x
_atom_site_fract_y
_atom_site_fract_z
Se1 0.667 0.333 0.691
Cr1 0.000 0.000 0.992
Ni1 0.333 0.667 0.317
```

## Properties
E: -6.013 eV per atom
Crystal system: trigonal
Excess energy over the best structure of this formula in the dataset: 0.250 eV/atom
D(E_F): 3.21 states/eV per cell
Uncorrected formation energy: 0.2831 eV/atom
Magnetic moment: 0.00 Bohr magnetons per cell

---

Entry from Alexandria via LeMat-Bulk: crystalline CrNi2Se at its relaxed geometry (GGA-PBE).

Geometry as CIF:
```
data_CrNi2Se
_chemical_formula_sum 'Cr1 Ni2 Se1'
_space_group_name_H-M_alt 'P 1'
_space_group_IT_number 1
_space_group_name_Hall 'P 1'
_cell_length_a 3.426
_cell_length_b 3.154
_cell_length_c 5.244
_cell_angle_alpha 72.44
_cell_angle_beta 90.00
_cell_angle_gamma 90.00
loop_
_atom_site_label
_atom_site_fract_x
_atom_site_fract_y
_atom_site_fract_z
Ni1 0.500 0.450 0.223
Se1 0.000 0.296 0.535
Ni2 0.000 0.058 0.010
Cr1 0.500 0.697 0.732
```

## Properties
E: -6.057 eV per atom
Crystal system: orthorhombic
D(E_F): 5.19 states/eV per cell
Uncorrected formation energy: 0.1110 eV/atom
Magnetic moment: 2.67 Bohr magnetons per cell

---

Entry from Alexandria via LeMat-Bulk: crystalline CrNi2Se at its relaxed geometry (GGA-PBE).

Geometry as CIF:
```
data_CrNi2Se
_chemical_formula_sum 'Cr1 Ni2 Se1'
_space_group_name_H-M_alt 'P 1'
_space_group_IT_number 1
_space_group_name_Hall 'P 1'
_cell_length_a 3.194
_cell_length_b 3.194
_cell_length_c 5.180
_cell_angle_alpha 90.00
_cell_angle_beta 90.00
_cell_angle_gamma 90.00
loop_
_atom_site_label
_atom_site_fract_x
_atom_site_fract_y
_atom_site_fract_z
Cr1 0.500 0.500 0.759
Ni1 0.500 0.500 0.229
Se1 0.000 0.000 0.502
Ni2 0.000 0.000 0.010
```

## Properties
E: -6.027 eV per atom
Crystal system: tetragonal
D(E_F): 5.22 states/eV per cell
Uncorrected formation energy: 0.1409 eV/atom
Magnetic moment: 3.05 Bohr magnetons per cell

---

Entry from Alexandria via LeMat-Bulk: crystalline CrNiSe at its relaxed geometry (GGA-PBE).

Geometry as CIF:
```
data_CrNiSe
_chemical_formula_sum 'Cr4 Ni4 Se4'
_space_group_name_H-M_alt 'P 1'
_space_group_IT_number 1
_space_group_name_Hall 'P 1'
_cell_length_a 6.010
_cell_length_b 5.972
_cell_length_c 6.142
_cell_angle_alpha 68.89
_cell_angle_beta 68.36
_cell_angle_gamma 87.23
loop_
_atom_site_label
_atom_site_fract_x
_atom_site_fract_y
_atom_site_fract_z
Se1 0.618 0.168 0.704
Cr1 0.658 0.318 0.263
Ni1 0.494 0.997 0.165
Ni2 0.463 0.436 0.926
Cr2 0.380 0.863 0.633
Ni3 0.950 0.979 0.797
Se2 0.865 0.588 0.820
Cr3 0.116 0.181 0.334
Ni4 0.070 0.609 0.081
Se3 0.330 0.587 0.298
Se4 0.880 0.947 0.216
Cr4 0.183 0.326 0.763
```

## Properties
E: -6.245 eV per atom
Crystal system: triclinic
Excess energy over the best structure of this formula in the dataset: 0.018 eV/atom
D(E_F): 11.46 states/eV per cell
Uncorrected formation energy: 0.0512 eV/atom
Magnetic moment: 12.55 Bohr magnetons per cell

---

Entry from Alexandria via LeMat-Bulk: crystalline CrNi2Se at its relaxed geometry (GGA-PBE).

Geometry as CIF:
```
data_CrNi2Se
_chemical_formula_sum 'Cr1 Ni2 Se1'
_space_group_name_H-M_alt 'P 1'
_space_group_IT_number 1
_space_group_name_Hall 'P 1'
_cell_length_a 8.277
_cell_length_b 8.277
_cell_length_c 8.277
_cell_angle_alpha 18.78
_cell_angle_beta 18.78
_cell_angle_gamma 18.78
loop_
_atom_site_label
_atom_site_fract_x
_atom_site_fract_y
_atom_site_fract_z
Ni1 0.497 0.497 0.497
Cr1 0.750 0.750 0.750
Se1 0.250 0.250 0.250
Ni2 0.003 0.003 0.003
```

## Properties
E: -5.833 eV per atom
Crystal system: trigonal
D(E_F): 5.67 states/eV per cell
Uncorrected formation energy: 0.3341 eV/atom
Magnetic moment: 0.00 Bohr magnetons per cell